Record 1
## CeMnN (GGA-PBE)

Data for a geometry-optimized CeMnN structure.

The structure in POSCAR format:
```
CeMnN
1.0
6.814 0.000 0.000
0.000 3.008 0.000
0.000 0.000 8.659
Ce Mn N
4 4 4
Cartesian
0.418 0.752 1.609
2.989 2.256 5.938
3.825 0.752 2.721
6.396 2.256 7.050
1.124 0.752 4.126
2.283 2.256 8.455
4.531 0.752 0.204
5.690 2.256 4.533
1.270 0.752 7.833
2.137 2.256 3.504
4.677 0.752 5.155
5.544 2.256 0.826
```

Summary:
Energy above the most stable polymorph in this dataset   0.000 eV/atom
Magnetization   1.11 μB/f.u.
VASP energy   -0.3071 hartree per atom
Formation energy from raw total energies   -0.547 eV/atom

Record 2
## CsCuH4 (GGA-PBE)

Data for a geometry-optimized CsCuH4 structure.

The structure in POSCAR format:
```
CsCuH4
1.0
6.963 -3.371 0.000
6.963 3.371 0.000
-1.730 0.000 5.272
Cs Cu H
2 2 8
Cartesian
2.139 0.000 1.148
10.057 0.000 4.123
4.124 0.000 4.885
8.072 0.000 0.387
2.701 0.000 4.226
6.963 1.246 0.000
5.158 0.380 1.824
5.158 -0.380 1.824
7.038 0.380 3.448
7.038 -0.380 3.448
6.963 -1.246 0.000
9.495 0.000 1.046
```

Summary:
Energy above the most stable polymorph in this dataset   0.028 eV/atom
Magnetization   0.00 μB/f.u.
VASP energy   -0.1140 hartree per atom

Record 3
## K2Tl4In3Hg (GGA-PBE)

Data for a geometry-optimized K2Tl4In3Hg structure.

The structure in POSCAR format:
```
K2Tl4In3Hg
1.0
5.211 0.000 0.000
0.000 5.211 0.000
0.000 0.000 12.539
K Tl In Hg
2 4 3 1
Cartesian
0.000 2.605 3.084
2.605 0.000 9.455
0.000 0.000 6.269
0.000 2.605 10.908
2.605 0.000 1.631
2.605 2.605 6.269
0.000 0.000 0.000
0.000 2.605 7.941
2.605 0.000 4.598
2.605 2.605 0.000
```

Summary:
Magnetization   0.00 μB/f.u.
VASP energy   -0.0768 hartree per atom
ΔE_f   -0.073 eV/atom

Record 4
## NaHfZn2 (GGA-PBE)

Data for a geometry-optimized NaHfZn2 structure.

The structure in POSCAR format:
```
NaHfZn2
1.0
6.691 0.000 0.000
0.000 6.691 0.000
0.000 0.000 6.691
Na Hf Zn
4 4 8
Cartesian
0.000 0.000 0.000
0.000 3.345 3.345
3.345 0.000 3.345
3.345 3.345 0.000
0.000 0.000 3.345
0.000 3.345 0.000
3.345 0.000 0.000
3.345 3.345 3.345
1.673 1.673 1.673
1.673 1.673 5.018
1.673 5.018 1.673
1.673 5.018 5.018
5.018 1.673 1.673
5.018 1.673 5.018
5.018 5.018 1.673
5.018 5.018 5.018
```

Summary:
Energy above the most stable polymorph in this dataset   0.154 eV/atom
Magnetization   0.00 μB/f.u.
VASP energy   -0.1209 hartree per atom
ΔE_f   0.166 eV/atom

The highest VASP energy belongs to which entry?
K2Tl4In3Hg